Entry 1:
VASP calculation (GGA-PBE) on SrPm3Bi4 after structural relaxation.

abc: 8.054 9.322 8.004
angles: 90.00 109.69 90.00
Space group P2/c (No. 13)
Asymmetric unit:
Sr  0.000  0.124  0.250 x2
Pm  0.000  0.375  0.750 x2
Pm  0.500  0.124  0.750 x2
Pm  0.500  0.375  0.250 x2
Bi  0.253  0.381  0.506 x4
Bi  0.261  0.132  0.999 x4

Properties
total magnetization: 0.00 μB/atom
calculated density: 7.97 g/cm3
final energy: -76.810 eV/cell
formation energy from the elements: -868 meV per atom

---

Entry 2:
VASP calculation (GGA-PBE) on Sr5PmBi5 after structural relaxation.

abc: 15.739 6.690 9.368
angles: 90.00 107.80 90.00
Space group C2/m (No. 12)
Asymmetric unit:
Sr  0.000  0.000  0.000 x2
Sr  0.177  0.500  0.353 x4
Sr  0.184  0.500  0.824 x4
Pm  0.000  0.000  0.500 x2
Bi  0.000  0.500  0.500 x2
Bi  0.150  0.000  0.331 x4
Bi  0.159  0.000  0.825 x4

Properties
total magnetization: 0.00 μB/atom
calculated density: 5.76 g/cm3
final energy: -81.226 eV/cell
formation energy from the elements: -732 meV per atom

---

Entry 3:
VASP calculation (GGA-PBE) on Sr3PmTh2Bi6 after structural relaxation.

abc: 8.127 14.079 8.277
angles: 90.00 109.11 90.00
Space group C2/m (No. 12)
Asymmetric unit:
Sr  0.000  0.000  0.000 x2
Sr  0.000  0.334  0.000 x4
Pm  0.000  0.500  0.500 x2
Th  0.000  0.167  0.500 x4
Bi  0.243  0.000  0.732 x4
Bi  0.245  0.333  0.732 x8

Properties
total magnetization: 0.00 μB/atom
calculated density: 7.89 g/cm3
final energy: -114.887 eV/cell
formation energy from the elements: -794 meV per atom

---

Please write out number 3 again, unchanged.
VASP calculation (GGA-PBE) on Sr3PmTh2Bi6 after structural relaxation.

abc: 8.127 14.079 8.277
angles: 90.00 109.11 90.00
Space group C2/m (No. 12)
Asymmetric unit:
Sr  0.000  0.000  0.000 x2
Sr  0.000  0.334  0.000 x4
Pm  0.000  0.500  0.500 x2
Th  0.000  0.167  0.500 x4
Bi  0.243  0.000  0.732 x4
Bi  0.245  0.333  0.732 x8

Properties
total magnetization: 0.00 μB/atom
calculated density: 7.89 g/cm3
final energy: -114.887 eV/cell
formation energy from the elements: -794 meV per atom